Here is Cs2Tl2Pt after structural relaxation from Alexandria via LeMat-Bulk. Energies are from PBE-GGA.

Results
**Total energy**: -2.6446 eV per atom
**E above lowest polymorph**: 0.008 eV/atom
**Formation enthalpy at 0 K**: -0.1485 eV/atom
**Theoretical density**: 6.915 g/cm3
**Total moment**: 0.00 μB/f.u.

a = 14.141 Å, b = 6.495 Å, c = 4.548 Å
α = 90.00°, β = 90.07°, γ = 90.00°
Space group C2/m (No. 12)
Unique sites:
Cs: 0.144 0.000 0.002 [4 per cell]
Tl: 0.116 0.500 0.501 [4 per cell]
Pt: 0.000 0.500 0.000 [2 per cell]

Here is TmCdPd after structural relaxation from Alexandria via LeMat-Bulk. Energies are from PBE-GGA.

Results
**Total energy**: -4.1727 eV per atom
**Formation enthalpy at 0 K**: -0.6462 eV/atom
**Theoretical density**: 10.319 g/cm3
**Total moment**: 0.00 μB/f.u.

a = 3.636 Å, b = 3.636 Å, c = 9.438 Å
α = 90.00°, β = 90.00°, γ = 90.00°
Space group I4mm (No. 107)
Unique sites:
Tm: 0.000 0.000 0.000 [2 per cell]
Cd: 0.000 0.000 0.685 [2 per cell]
Pd: 0.000 0.000 0.350 [2 per cell]

Here is Hf6C2O after structural relaxation from Alexandria via LeMat-Bulk. Energies are from PBE-GGA.

Results
**Total energy**: -10.1999 eV per atom
**Formation energy without anion corrections**: -22.2 kcal/mol of atoms
**Theoretical density**: 12.822 g/cm3
**Total moment**: 0.00 μB/f.u.

a = 9.7601 Å, b = 9.7601 Å, c = 5.2322 Å
α = 90.00°, β = 90.00°, γ = 120.00°
Space group P321 (No. 150)
Unique sites:
Hf: 0.1093 0.5557 0.2468 [6 per cell]
Hf: 0.1122 0.2237 0.2452 [6 per cell]
Hf: 0.2186 0.4419 0.7410 [6 per cell]
C: 0.0000 0.3329 0.0000 [3 per cell]
C: 0.0000 0.6662 0.5000 [3 per cell]
O: 0.0000 0.0000 0.0000 [1 per cell]
O: 0.3333 0.6667 0.4948 [2 per cell]

Here is Cu3AsPb after structural relaxation from Alexandria via LeMat-Bulk. Energies are from PBE-GGA.

Results
**Total energy**: -3.7939 eV per atom
**Formation enthalpy at 0 K**: 0.3354 eV/atom
**Theoretical density**: 7.864 g/cm3
**Total moment**: 0.00 μB/f.u.

a = 4.639 Å, b = 4.639 Å, c = 4.639 Å
α = 90.00°, β = 90.00°, γ = 90.00°
Space group Pm-3m (No. 221)
Unique sites:
Cu: 0.000 0.000 0.500 [3 per cell]
As: 0.000 0.000 0.000 [1 per cell]
Pb: 0.500 0.500 0.500 [1 per cell]

| no. | calculated volume (A^3/atom) |
| --- | --- |
| 1 | 41.8 |
| 2 | 20.8 |
| 3 | 16.0 |
| 4 | 20.0 |